Entry 1
# FeCuW3 | the Alexandria database | PBE | optimized geometry
data_FeCuW3
_chemical_formula_sum 'Fe1 Cu1 W3'
_symmetry_space_group_name_H-M 'P 1'
_symmetry_Int_Tables_number 1
_cell_length_a 4.444
_cell_length_b 4.444
_cell_length_c 4.444
_cell_angle_alpha 90.00
_cell_angle_beta 90.00
_cell_angle_gamma 90.00
loop_
_symmetry_equiv_pos_as_xyz
'x,y,z'
loop_
_atom_site_label
_atom_site_type_symbol
_atom_site_fract_x
_atom_site_fract_y
_atom_site_fract_z
_atom_site_occupancy
Fe1 Fe 0.000 0.000 0.000 1
Cu1 Cu 0.500 0.500 0.500 1
W1 W 0.000 0.500 0.500 1
W2 W 0.500 0.000 0.500 1
W3 W 0.500 0.500 0.000 1
# Total magnetic moment = 0.000 μB/atom
# N(E_F) = 11.31 states/eV/cell
# Calculated density = 12.69 g cm⁻³
# Symmetry = Pm-3m, No. 221

---

Entry 2
# FeCuW3 | the Alexandria database | PBE | optimized geometry
data_FeCuW3
_chemical_formula_sum 'Fe1 Cu1 W3'
_symmetry_space_group_name_H-M 'P 1'
_symmetry_Int_Tables_number 1
_cell_length_a 4.440
_cell_length_b 4.440
_cell_length_c 4.440
_cell_angle_alpha 90.00
_cell_angle_beta 90.00
_cell_angle_gamma 90.00
loop_
_symmetry_equiv_pos_as_xyz
'x,y,z'
loop_
_atom_site_label
_atom_site_type_symbol
_atom_site_fract_x
_atom_site_fract_y
_atom_site_fract_z
_atom_site_occupancy
Fe1 Fe 0.000 0.000 0.000 1
Cu1 Cu 0.500 0.500 0.500 1
W1 W 0.000 0.000 0.500 1
W2 W 0.000 0.500 0.000 1
W3 W 0.500 0.000 0.000 1
# Total magnetic moment = 0.000 μB/atom
# N(E_F) = 5.37 states/eV/cell
# Calculated density = 12.73 g cm⁻³
# Symmetry = Pm-3m, No. 221

---

Most stable structure: entry 2

---

Entry 1
# YFe2Cu2 | the Alexandria database | PBE | optimized geometry
data_YFe2Cu2
_chemical_formula_sum 'Y2 Fe4 Cu4'
_symmetry_space_group_name_H-M 'P 1'
_symmetry_Int_Tables_number 1
_cell_length_a 7.316
_cell_length_b 7.316
_cell_length_c 2.776
_cell_angle_alpha 90.00
_cell_angle_beta 90.00
_cell_angle_gamma 90.00
loop_
_symmetry_equiv_pos_as_xyz
'x,y,z'
loop_
_atom_site_label
_atom_site_type_symbol
_atom_site_fract_x
_atom_site_fract_y
_atom_site_fract_z
_atom_site_occupancy
Y1 Y 0.000 0.000 0.000 1
Y2 Y 0.500 0.500 0.000 1
Fe1 Fe 0.114 0.386 0.000 1
Fe2 Fe 0.386 0.886 0.000 1
Fe3 Fe 0.614 0.114 0.000 1
Fe4 Fe 0.886 0.614 0.000 1
Cu1 Cu 0.177 0.677 0.500 1
Cu2 Cu 0.323 0.177 0.500 1
Cu3 Cu 0.677 0.823 0.500 1
Cu4 Cu 0.823 0.323 0.500 1
# Total magnetic moment = 0.841 μB/atom
# N(E_F) = 6.09 states/eV/cell
# Calculated density = 7.32 g cm⁻³
# Symmetry = P4/mbm, No. 127

---

Entry 2
# YFe2Cu2 | the Alexandria database | PBE | optimized geometry
data_YFe2Cu2
_chemical_formula_sum 'Y1 Fe2 Cu2'
_symmetry_space_group_name_H-M 'P 1'
_symmetry_Int_Tables_number 1
_cell_length_a 6.200
_cell_length_b 6.200
_cell_length_c 6.200
_cell_angle_alpha 144.71
_cell_angle_beta 144.71
_cell_angle_gamma 50.77
loop_
_symmetry_equiv_pos_as_xyz
'x,y,z'
loop_
_atom_site_label
_atom_site_type_symbol
_atom_site_fract_x
_atom_site_fract_y
_atom_site_fract_z
_atom_site_occupancy
Y1 Y 0.000 0.000 0.000 1
Fe1 Fe 0.250 0.750 0.500 1
Fe2 Fe 0.750 0.250 0.500 1
Cu1 Cu 0.392 0.392 0.000 1
Cu2 Cu 0.608 0.608 0.000 1
# Total magnetic moment = 0.929 μB/atom
# N(E_F) = 4.72 states/eV/cell
# Calculated density = 6.88 g cm⁻³
# Symmetry = I4/mmm, No. 139

---

Most stable structure: entry 2